Record 1
# Rb2AsS SCAN single point on PBEsol structure
# - crystal system = tetragonal
# - formation energy without anion corrections (eV/atom) = -0.4503
data_Rb2AsS
_symmetry_space_group_name_H-M 'P 1'
_symmetry_Int_Tables_number 1
_symmetry_space_group_name_Hall 'P 1'
_cell_length_a 8.9015
_cell_length_b 8.9015
_cell_length_c 8.9015
_cell_angle_alpha 94.47
_cell_angle_beta 94.47
_cell_angle_gamma 147.58
loop_
_atom_site_label
_atom_site_type_symbol
_atom_site_fract_x
_atom_site_fract_y
_atom_site_fract_z
Rb1 Rb 0.3750 0.0769 0.2019
Rb2 Rb 0.8269 0.6250 0.7019
Rb3 Rb 0.8750 0.1731 0.7981
Rb4 Rb 0.9231 0.1250 0.2981
As1 As 0.2500 0.7500 0.5000
As2 As 0.5000 0.5000 0.0000
S1 S 0.0000 0.0000 0.0000
S2 S 0.7500 0.2500 0.5000

=====

Record 2
# RbAs3S SCAN single point on PBEsol structure
# - crystal system = cubic
# - formation energy without anion corrections (eV/atom) = 2.2220
data_RbAs3S
_symmetry_space_group_name_H-M 'P 1'
_symmetry_Int_Tables_number 1
_symmetry_space_group_name_Hall 'P 1'
_cell_length_a 5.4839
_cell_length_b 5.4839
_cell_length_c 5.4839
_cell_angle_alpha 90.00
_cell_angle_beta 90.00
_cell_angle_gamma 90.00
loop_
_atom_site_label
_atom_site_type_symbol
_atom_site_fract_x
_atom_site_fract_y
_atom_site_fract_z
Rb1 Rb 0.0000 0.0000 0.0000
As1 As 0.0000 0.0000 0.5000
As2 As 0.0000 0.5000 0.0000
As3 As 0.5000 0.0000 0.0000
S1 S 0.5000 0.5000 0.5000

=====

Record 3
# Rb2SbAs SCAN single point on PBEsol structure
# - crystal system = tetragonal
# - formation energy without anion corrections (eV/atom) = -0.1910
data_Rb2SbAs
_symmetry_space_group_name_H-M 'P 1'
_symmetry_Int_Tables_number 1
_symmetry_space_group_name_Hall 'P 1'
_cell_length_a 9.5009
_cell_length_b 9.5009
_cell_length_c 9.5009
_cell_angle_alpha 94.66
_cell_angle_beta 94.66
_cell_angle_gamma 146.89
loop_
_atom_site_label
_atom_site_type_symbol
_atom_site_fract_x
_atom_site_fract_y
_atom_site_fract_z
Rb1 Rb 0.3750 0.0763 0.2013
Rb2 Rb 0.8263 0.6250 0.7013
Rb3 Rb 0.8750 0.1737 0.7987
Rb4 Rb 0.9237 0.1250 0.2987
Sb1 Sb 0.2500 0.7500 0.5000
Sb2 Sb 0.5000 0.5000 0.0000
As1 As 0.0000 0.0000 0.0000
As2 As 0.7500 0.2500 0.5000

=====

Record 4
# RbSb2As2 SCAN single point on PBEsol structure
# - crystal system = tetragonal
# - formation energy without anion corrections (eV/atom) = -0.1799
data_RbSb2As2
_symmetry_space_group_name_H-M 'P 1'
_symmetry_Int_Tables_number 1
_symmetry_space_group_name_Hall 'P 1'
_cell_length_a 6.6544
_cell_length_b 6.6544
_cell_length_c 6.6544
_cell_angle_alpha 133.61
_cell_angle_beta 133.61
_cell_angle_gamma 67.71
loop_
_atom_site_label
_atom_site_type_symbol
_atom_site_fract_x
_atom_site_fract_y
_atom_site_fract_z
Rb1 Rb 0.0000 0.0000 0.0000
Sb1 Sb 0.3414 0.3414 0.0000
Sb2 Sb 0.6586 0.6586 0.0000
As1 As 0.2500 0.7500 0.5000
As2 As 0.7500 0.2500 0.5000

=====

Record 5
# Rb2Sb2As SCAN single point on PBEsol structure
# - crystal system = tetragonal
# - formation energy without anion corrections (eV/atom) = -0.2791
data_Rb2Sb2As
_symmetry_space_group_name_H-M 'P 1'
_symmetry_Int_Tables_number 1
_symmetry_space_group_name_Hall 'P 1'
_cell_length_a 7.5957
_cell_length_b 7.5957
_cell_length_c 5.7780
_cell_angle_alpha 90.00
_cell_angle_beta 90.00
_cell_angle_gamma 90.00
loop_
_atom_site_label
_atom_site_type_symbol
_atom_site_fract_x
_atom_site_fract_y
_atom_site_fract_z
Rb1 Rb 0.1764 0.3236 0.0000
Rb2 Rb 0.3236 0.8236 0.0000
Rb3 Rb 0.6764 0.1764 0.0000
Rb4 Rb 0.8236 0.6764 0.0000
Sb1 Sb 0.1332 0.6332 0.5000
Sb2 Sb 0.3668 0.1332 0.5000
Sb3 Sb 0.6332 0.8668 0.5000
Sb4 Sb 0.8668 0.3668 0.5000
As1 As 0.0000 0.0000 0.5000
As2 As 0.5000 0.5000 0.5000

=====

Record 6
# RbSbAs2Se SCAN single point on PBEsol structure
# - crystal system = tetragonal
# - formation energy without anion corrections (eV/atom) = 0.1732
data_RbSbAs2Se
_symmetry_space_group_name_H-M 'P 1'
_symmetry_Int_Tables_number 1
_symmetry_space_group_name_Hall 'P 1'
_cell_length_a 5.3200
_cell_length_b 5.3200
_cell_length_c 5.4966
_cell_angle_alpha 90.00
_cell_angle_beta 90.00
_cell_angle_gamma 90.00
loop_
_atom_site_label
_atom_site_type_symbol
_atom_site_fract_x
_atom_site_fract_y
_atom_site_fract_z
Rb1 Rb 0.0000 0.0000 0.0000
Sb1 Sb 0.5000 0.5000 0.5000
As1 As 0.0000 0.5000 0.5000
As2 As 0.5000 0.0000 0.5000
Se1 Se 0.5000 0.5000 0.0000

=====

Record 7
# RbSbAs2Se SCAN single point on PBEsol structure
# - crystal system = tetragonal
# - formation energy without anion corrections (eV/atom) = 1.6635
data_RbSbAs2Se
_symmetry_space_group_name_H-M 'P 1'
_symmetry_Int_Tables_number 1
_symmetry_space_group_name_Hall 'P 1'
_cell_length_a 5.4054
_cell_length_b 5.4054
_cell_length_c 5.4323
_cell_angle_alpha 90.00
_cell_angle_beta 90.00
_cell_angle_gamma 90.00
loop_
_atom_site_label
_atom_site_type_symbol
_atom_site_fract_x
_atom_site_fract_y
_atom_site_fract_z
Rb1 Rb 0.0000 0.0000 0.0000
Sb1 Sb 0.5000 0.5000 0.5000
As1 As 0.0000 0.5000 0.0000
As2 As 0.5000 0.0000 0.0000
Se1 Se 0.0000 0.0000 0.5000

=====

Record 8
# RbZrSb2As SCAN single point on PBEsol structure
# - crystal system = tetragonal
# - formation energy without anion corrections (eV/atom) = 2.0468
data_RbZrSb2As
_symmetry_space_group_name_H-M 'P 1'
_symmetry_Int_Tables_number 1
_symmetry_space_group_name_Hall 'P 1'
_cell_length_a 5.6946
_cell_length_b 5.6946
_cell_length_c 5.0073
_cell_angle_alpha 90.00
_cell_angle_beta 90.00
_cell_angle_gamma 90.00
loop_
_atom_site_label
_atom_site_type_symbol
_atom_site_fract_x
_atom_site_fract_y
_atom_site_fract_z
Rb1 Rb 0.0000 0.0000 0.0000
Zr1 Zr 0.0000 0.0000 0.5000
Sb1 Sb 0.0000 0.5000 0.0000
Sb2 Sb 0.5000 0.0000 0.0000
As1 As 0.5000 0.5000 0.5000

=====

Record 9
# RbSc2As2 SCAN single point on PBEsol structure
# - crystal system = tetragonal
# - ΔE_f (meV/atom) = -847
data_RbSc2As2
_symmetry_space_group_name_H-M 'P 1'
_symmetry_Int_Tables_number 1
_symmetry_space_group_name_Hall 'P 1'
_cell_length_a 6.5987
_cell_length_b 6.5987
_cell_length_c 6.5987
_cell_angle_alpha 134.28
_cell_angle_beta 134.28
_cell_angle_gamma 66.65
loop_
_atom_site_label
_atom_site_type_symbol
_atom_site_fract_x
_atom_site_fract_y
_atom_site_fract_z
Rb1 Rb 0.0000 0.0000 0.0000
Sc1 Sc 0.3097 0.3097 0.0000
Sc2 Sc 0.6903 0.6903 0.0000
As1 As 0.2500 0.7500 0.5000
As2 As 0.7500 0.2500 0.5000

=====

Record 10
# RbSc3As SCAN single point on PBEsol structure
# - crystal system = cubic
# - ΔE_f (meV/atom) = 1515
data_RbSc3As
_symmetry_space_group_name_H-M 'P 1'
_symmetry_Int_Tables_number 1
_symmetry_space_group_name_Hall 'P 1'
_cell_length_a 4.8898
_cell_length_b 4.8898
_cell_length_c 4.8898
_cell_angle_alpha 90.00
_cell_angle_beta 90.00
_cell_angle_gamma 90.00
loop_
_atom_site_label
_atom_site_type_symbol
_atom_site_fract_x
_atom_site_fract_y
_atom_site_fract_z
Rb1 Rb 0.0000 0.0000 0.0000
Sc1 Sc 0.0000 0.0000 0.5000
Sc2 Sc 0.0000 0.5000 0.0000
Sc3 Sc 0.5000 0.0000 0.0000
As1 As 0.5000 0.5000 0.5000

=====

Record 11
# RbAsSe3 SCAN single point on PBEsol structure
# - crystal system = cubic
# - formation energy without anion corrections (eV/atom) = -0.2561
data_RbAsSe3
_symmetry_space_group_name_H-M 'P 1'
_symmetry_Int_Tables_number 1
_symmetry_space_group_name_Hall 'P 1'
_cell_length_a 5.1323
_cell_length_b 5.1323
_cell_length_c 5.1323
_cell_angle_alpha 90.00
_cell_angle_beta 90.00
_cell_angle_gamma 90.00
loop_
_atom_site_label
_atom_site_type_symbol
_atom_site_fract_x
_atom_site_fract_y
_atom_site_fract_z
Rb1 Rb 0.0000 0.0000 0.0000
As1 As 0.5000 0.5000 0.5000
Se1 Se 0.0000 0.5000 0.5000
Se2 Se 0.5000 0.0000 0.5000
Se3 Se 0.5000 0.5000 0.0000

=====

Record 12
# Rb2As2Se SCAN single point on PBEsol structure
# - crystal system = tetragonal
# - formation energy without anion corrections (eV/atom) = -0.3636
data_Rb2As2Se
_symmetry_space_group_name_H-M 'P 1'
_symmetry_Int_Tables_number 1
_symmetry_space_group_name_Hall 'P 1'
_cell_length_a 7.2670
_cell_length_b 7.2670
_cell_length_c 5.3963
_cell_angle_alpha 90.00
_cell_angle_beta 90.00
_cell_angle_gamma 90.00
loop_
_atom_site_label
_atom_site_type_symbol
_atom_site_fract_x
_atom_site_fract_y
_atom_site_fract_z
Rb1 Rb 0.1806 0.3194 0.0000
Rb2 Rb 0.3194 0.8194 0.0000
Rb3 Rb 0.6806 0.1806 0.0000
Rb4 Rb 0.8194 0.6806 0.0000
As1 As 0.1209 0.6209 0.5000
As2 As 0.3791 0.1209 0.5000
As3 As 0.6209 0.8791 0.5000
As4 As 0.8791 0.3791 0.5000
Se1 Se 0.0000 0.0000 0.5000
Se2 Se 0.5000 0.5000 0.5000

=====

Record 13
# Rb3AsSe16 SCAN single point on PBEsol structure
# - crystal system = cubic
# - formation energy without anion corrections (eV/atom) = -0.4104
data_Rb3AsSe16
_symmetry_space_group_name_H-M 'P 1'
_symmetry_Int_Tables_number 1
_symmetry_space_group_name_Hall 'P 1'
_cell_length_a 11.6282
_cell_length_b 11.6282
_cell_length_c 11.6282
_cell_angle_alpha 60.00
_cell_angle_beta 60.00
_cell_angle_gamma 60.00
loop_
_atom_site_label
_atom_site_type_symbol
_atom_site_fract_x
_atom_site_fract_y
_atom_site_fract_z
Rb1 Rb 0.0000 0.0000 0.0000
Rb2 Rb 0.0000 0.0000 0.5000
Rb3 Rb 0.0000 0.5000 0.0000
Rb4 Rb 0.3750 0.3750 0.3750
Rb5 Rb 0.5000 0.0000 0.0000
Rb6 Rb 0.6250 0.6250 0.6250
As1 As 0.1250 0.1250 0.1250
As2 As 0.8750 0.8750 0.8750
Se1 Se 0.0536 0.3024 0.4665
Se2 Se 0.0536 0.4665 0.6775
Se3 Se 0.0536 0.6775 0.3024
Se4 Se 0.1237 0.7921 0.7921
Se5 Se 0.2079 0.2079 0.2079
Se6 Se 0.2079 0.2079 0.8763
Se7 Se 0.2079 0.8763 0.2079
Se8 Se 0.3024 0.0536 0.6775
Se9 Se 0.3024 0.4665 0.0536
Se10 Se 0.3024 0.6775 0.4665
Se11 Se 0.3225 0.5335 0.6976
Se12 Se 0.3225 0.6976 0.9464
Se13 Se 0.3225 0.9464 0.5335
Se14 Se 0.4665 0.0536 0.3024
Se15 Se 0.4665 0.3024 0.6775
Se16 Se 0.4665 0.6775 0.0536
Se17 Se 0.5335 0.3225 0.9464
Se18 Se 0.5335 0.6976 0.3225
Se19 Se 0.5335 0.9464 0.6976
Se20 Se 0.6775 0.0536 0.4665
Se21 Se 0.6775 0.3024 0.0536
Se22 Se 0.6775 0.4665 0.3024
Se23 Se 0.6976 0.3225 0.5335
Se24 Se 0.6976 0.5335 0.9464
Se25 Se 0.6976 0.9464 0.3225
Se26 Se 0.7921 0.1237 0.7921
Se27 Se 0.7921 0.7921 0.1237
Se28 Se 0.7921 0.7921 0.7921
Se29 Se 0.8763 0.2079 0.2079
Se30 Se 0.9464 0.3225 0.6976
Se31 Se 0.9464 0.5335 0.3225
Se32 Se 0.9464 0.6976 0.5335